Ba2AlRh | GGA-PBEsol | optimized geometry

Summary:
Uncorrected energy, eV per atom: -3.988
Size of the total moment, μB per atom: 0.0001
Energy relative to the lowest polymorph listed for this composition, eV/atom: 0.298
Energy of formation, meV/atom: 144

Unit cell a=7.3533 b=7.3604 c=4.2167 alpha=90.00 beta=90.00 gamma=90.00
Closest atoms and distances in Å follow each position.
Space group Cmmm (No. 65)
Symmetry-distinct sites (fractional):
Ba  0.2500  0.2500  0.0000 x4  4 Al 3.35, 4 Rh 3.35, 4 Ba 3.68
Al  0.0000  0.0000  0.5000 x2  8 Ba 3.35, 4 Rh 3.68
Rh  0.0000  0.5000  0.5000 x2  8 Ba 3.35, 4 Al 3.68

***

Ba2AlRh | GGA-PBEsol | optimized geometry

Summary:
Uncorrected energy, eV per atom: -4.286
Size of the total moment, μB per atom: 0.0004
Energy relative to the lowest polymorph listed for this composition, eV/atom: 0.000
Energy of formation, meV/atom: -154

Unit cell a=3.5353 b=3.5353 c=9.4757 alpha=90.00 beta=90.00 gamma=90.00
Closest atoms and distances in Å follow each position.
Space group P4mm (No. 99)
Symmetry-distinct sites (fractional):
Ba  0.0000  0.0000  0.0000 x1  1 Rh 3.11, 4 Al 3.44
Ba  0.5000  0.5000  0.4184 x1  1 Al 3.14, 4 Rh 3.47
Al  0.5000  0.5000  0.7499 x1  4 Rh 2.61
Rh  0.0000  0.0000  0.6720 x1  4 Al 2.61

***

Question: The lowest energy relative to the lowest polymorph listed for this composition belongs to which entry?
Answer: number 2

***

Question: Which value of uncorrected energy does entry 2 give?
Answer: -4.286 eV per atom

***

Question: What is the formula in the first record?
Answer: Ba2AlRh